Entry from Alexandria via LeMat-Bulk: a relaxed CsSrInTe3 crystal (PBE).

```
CsSrInTe3
1.0
11.5516 -2.3822 0.0000
11.5516 2.3822 0.0000
-2.1252 0.0000 9.5612
Cs Sr In Te
2 2 2 6
Cartesian
2.6077 0.0000 4.3414 Cs
18.3704 0.0000 5.2198 Cs
1.9429 0.0000 9.0263 Sr
19.0351 0.0000 0.5349 Sr
10.7792 0.0000 1.5206 In
10.1988 0.0000 8.0406 In
-0.6043 0.0000 6.6555 Te
5.9781 0.0000 2.1836 Te
7.3730 0.0000 8.5075 Te
13.6051 0.0000 1.0537 Te
15.0000 0.0000 7.3776 Te
21.5823 0.0000 2.9057 Te
```

Results
E_form (uncorrected): -0.976 eV per atom
total magnetization: 0.0 μB per formula unit
DFT total energy: -41.1 eV for the cell shown
N(E_F): 0.16 states/eV/f.u.
SG: C2/m (12)

=====

Entry from Alexandria via LeMat-Bulk: a relaxed TaMoOs2 crystal (PBE).

```
TaMoOs2
1.0
3.1166 0.0000 0.0000
0.0000 4.5285 0.0000
0.0000 0.0000 8.9073
Ta Mo Os
2 2 4
Cartesian
0.0000 0.0000 0.0000 Ta
1.5583 2.2643 4.4536 Ta
0.0000 0.0000 4.4536 Mo
1.5583 2.2643 0.0000 Mo
0.0000 2.2643 2.3214 Os
0.0000 2.2643 6.5858 Os
1.5583 0.0000 2.1322 Os
1.5583 0.0000 6.7751 Os
```

Results
total magnetization: 0.0 μB per formula unit
ΔE_f: 0.08 eV/atom
DFT total energy: -89.7 eV for the cell shown
energy above the most stable polymorph in this dataset: 0.111 eV per atom
N(E_F): 3.35 states/eV/f.u.
SG: Immm (71)

=====

Entry from Alexandria via LeMat-Bulk: a relaxed MnZnHg2 crystal (PBE).

```
MnZnHg2
1.0
3.2713 0.0000 0.0000
-1.6357 2.8331 0.0000
0.0000 0.0000 25.7053
Mn Zn Hg
3 3 6
Cartesian
0.0000 0.0000 0.0000 Mn
0.0000 1.8887 17.1369 Mn
1.6357 0.9444 8.5684 Mn
0.0000 0.0000 12.8527 Zn
0.0000 1.8887 4.2842 Zn
1.6357 0.9444 21.4211 Zn
0.0000 0.0000 6.4259 Hg
0.0000 0.0000 19.2794 Hg
0.0000 1.8887 10.7109 Hg
0.0000 1.8887 23.5628 Hg
1.6357 0.9444 2.1425 Hg
1.6357 0.9444 14.9944 Hg
```

Results
total magnetization: 4.1 μB per formula unit
ΔE_f: 0.28 eV/atom
DFT total energy: -29.8 eV for the cell shown
energy above the most stable polymorph in this dataset: 0.071 eV per atom
N(E_F): 1.44 states/eV/f.u.
SG: R-3m (166)

=====

Entry from Alexandria via LeMat-Bulk: a relaxed Sb2IF crystal (PBE).

```
Sb2IF
1.0
4.7136 0.0000 0.0000
0.0000 4.7136 0.0000
0.0000 0.0000 19.7962
Sb I F
8 4 4
Cartesian
0.9075 1.1784 2.4745 Sb
1.1784 3.2643 7.4236 Sb
1.1784 3.8061 17.3216 Sb
1.4493 1.1784 12.3726 Sb
3.2643 3.5352 12.3726 Sb
3.5352 0.9075 17.3216 Sb
3.5352 1.4493 7.4236 Sb
3.8061 3.5352 2.4745 Sb
0.0000 0.0000 9.8981 I
0.0000 2.3568 14.8471 I
2.3568 0.0000 4.9490 I
2.3568 2.3568 0.0000 I
0.0000 0.0000 0.0000 F
0.0000 2.3568 4.9490 F
2.3568 0.0000 14.8471 F
2.3568 2.3568 9.8981 F
```

Results
E_form (uncorrected): -0.414 eV per atom
total magnetization: 0.0 μB per formula unit
DFT total energy: -53.3 eV for the cell shown
energy above the most stable polymorph in this dataset: 0.000 eV per atom
N(E_F): 0.00 states/eV/f.u.
SG: I-42d (122)

=====

Entry from Alexandria via LeMat-Bulk: a relaxed Pm8PrHo2 crystal (PBE).

```
Pm8PrHo2
1.0
9.7155 -3.5383 0.0000
9.7155 3.5383 0.0000
-0.3294 0.0000 5.6602
Pm Pr Ho
8 1 2
Cartesian
0.7937 0.0000 1.3476 Pm
7.0340 1.8990 1.5206 Pm
5.8035 0.0000 4.3501 Pm
12.0676 1.8990 4.1396 Pm
7.0340 -1.8990 1.5206 Pm
13.2981 0.0000 1.3100 Pm
12.0676 -1.8990 4.1396 Pm
18.3079 0.0000 4.3126 Pm
9.7155 0.0000 0.0000 Pr
4.1014 0.0000 1.4382 Ho
15.0002 0.0000 4.2219 Ho
```

Results
total magnetization: 0.0 μB per formula unit
ΔE_f: 0.14 eV/atom
DFT total energy: -50.4 eV for the cell shown
energy above the most stable polymorph in this dataset: 0.000 eV per atom
N(E_F): 16.88 states/eV/f.u.
SG: C2/m (12)